An optimized crystal structure of La2PtAu. Source: OQMD, functional PBE.

Geometry as CIF:
```
data_La2PtAu
_space_group_name_H-M_alt 'P 1 21/m 1'
_space_group_IT_number 11
_space_group_name_Hall '-P 2yb'
_cell_length_a 6.104
_cell_length_b 4.638
_cell_length_c 7.984
_cell_angle_alpha 90.00
_cell_angle_beta 110.33
_cell_angle_gamma 90.00
loop_
_atom_site_label
_atom_site_type_symbol
_atom_site_fract_x
_atom_site_fract_y
_atom_site_fract_z
_atom_site_occupancy
La1 La 0.223 0.250 0.438 1
La2 La 0.234 0.250 0.925 1
Pt1 Pt 0.313 0.750 0.705 1
Au1 Au 0.319 0.750 0.206 1
```

Calculated values
* total moment: 0.01 μB per formula unit
* calculated density: 10.49 g cm⁻³
* E: -5.807 eV per atom



An optimized crystal structure of ZrAlAgPt. Source: OQMD, functional PBE.

Geometry as CIF:
```
data_ZrAlAgPt
_space_group_name_H-M_alt 'F -4 3 m'
_space_group_IT_number 216
_space_group_name_Hall 'F -4 2 3'
_cell_length_a 6.502
_cell_length_b 6.502
_cell_length_c 6.502
_cell_angle_alpha 90.00
_cell_angle_beta 90.00
_cell_angle_gamma 90.00
loop_
_atom_site_label
_atom_site_type_symbol
_atom_site_fract_x
_atom_site_fract_y
_atom_site_fract_z
_atom_site_occupancy
Zr1 Zr 0.000 0.000 0.000 1
Al1 Al 0.250 0.250 0.750 1
Ag1 Ag 0.250 0.250 0.250 1
Pt1 Pt 0.000 0.000 0.500 1
```

Calculated values
* total moment: 0.00 μB per formula unit
* calculated density: 10.17 g cm⁻³
* E: -5.727 eV per atom



An optimized crystal structure of SmHoCo2Ge4. Source: OQMD, functional PBE.

Geometry as CIF:
```
data_SmHoCo2Ge4
_space_group_name_H-M_alt 'A m m 2'
_space_group_IT_number 38
_space_group_name_Hall 'A 2 -2'
_cell_length_a 4.171
_cell_length_b 4.171
_cell_length_c 16.613
_cell_angle_alpha 90.00
_cell_angle_beta 90.00
_cell_angle_gamma 90.00
loop_
_atom_site_label
_atom_site_type_symbol
_atom_site_fract_x
_atom_site_fract_y
_atom_site_fract_z
_atom_site_occupancy
Sm1 Sm 0.000 0.000 0.000 1
Ho1 Ho 0.500 0.000 0.782 1
Co1 Co 0.000 0.000 0.211 1
Co2 Co 0.500 0.000 0.573 1
Ge1 Ge 0.000 0.000 0.346 1
Ge2 Ge 0.000 0.000 0.642 1
Ge3 Ge 0.500 0.000 0.143 1
Ge4 Ge 0.500 0.000 0.436 1
```

Calculated values
* total moment: 0.00 μB per formula unit
* calculated density: 8.32 g cm⁻³
* E: -5.891 eV per atom



An optimized crystal structure of Dy2TmGa3NiGe2. Source: OQMD, functional PBE.

Geometry as CIF:
```
data_Dy2TmGa3NiGe2
_space_group_name_H-M_alt 'A m m 2'
_space_group_IT_number 38
_space_group_name_Hall 'A 2 -2'
_cell_length_a 4.137
_cell_length_b 12.038
_cell_length_c 6.970
_cell_angle_alpha 90.00
_cell_angle_beta 90.00
_cell_angle_gamma 90.00
loop_
_atom_site_label
_atom_site_type_symbol
_atom_site_fract_x
_atom_site_fract_y
_atom_site_fract_z
_atom_site_occupancy
Dy1 Dy 0.000 0.200 0.000 1
Tm1 Tm 0.000 0.000 0.599 1
Ga1 Ga 0.500 0.000 0.970 1
Ga2 Ga 0.500 0.115 0.316 1
Ni1 Ni 0.000 0.000 0.203 1
Ge1 Ge 0.500 0.165 0.700 1
```

Calculated values
* total moment: 0.00 μB per formula unit
* calculated density: 8.68 g cm⁻³
* E: -4.892 eV per atom